# Hf5In4, optimized geometry, DFT PBE-GGA
data_Hf5In4
_chemical_formula_sum 'Hf10 In8'
_space_group_name_H-M_alt 'I 4/m m m'
_space_group_IT_number 139
_space_group_name_Hall '-I 4 2'
_cell_length_a 9.467
_cell_length_b 9.467
_cell_length_c 4.501
_cell_angle_alpha 90.00
_cell_angle_beta 90.00
_cell_angle_gamma 90.00
loop_
_atom_site_label
_atom_site_type_symbol
_atom_site_fract_x
_atom_site_fract_y
_atom_site_fract_z
Hf1 Hf 0.000 0.000 0.000
Hf2 Hf 0.167 0.167 0.500
In1 In 0.000 0.321 0.000
# energy relative to the elements: -5.0 kJ per mole of atoms
# VASP energy: -6.799 eV/atom
# N(E_F): 0.84 states/eV/atom